28
Lattice="-4.0295 -4.8349 2.1114 4.5034 1.2919 5.8397 -8.5153 9.0867 4.5565" Properties=species:S:1:pos:R:3 comment="PtC2Cl2O2 | the Alexandria database | PBEsol | optimized geometry" total_energy_ev_per_atom=-6.39 space_group="No. 14" formation_energy_uncorrected_mev_per_atom=-562 crystal_system=monoclinic rho_g_cm3=3.35 dos_ef_per_ev_atom=0.000 pbc="T T T"
Cl -2.0439 6.1110 8.5135
O -4.1838 3.3502 8.5479
O -6.3102 1.7678 6.5643
O -4.7708 8.5440 8.8843
C -3.9128 8.0822 9.4870
Pt -1.0556 -0.4697 7.9217
O -3.2706 -3.0003 3.6233
Cl -2.8291 0.5322 6.8771
O -3.8576 2.1935 3.9598
C -0.8255 3.2148 6.3644
C -4.1739 3.7934 9.6043
Cl -8.8060 4.2789 7.5312
O -1.7312 3.7759 5.9433
C -7.2159 2.3289 6.1432
Cl 0.7646 1.2648 4.9765
Cl -5.2123 5.0114 5.6305
Cl -6.0107 5.7766 10.6138
Pt -8.6960 3.2710 5.4787
O -0.6299 -1.9667 5.3316
Cl -5.9975 -0.5673 3.9941
Pt -6.9858 6.0134 4.5860
C -7.2622 6.9458 6.1904
O -7.4115 7.5104 7.1760
Pt 0.6547 2.2727 7.0289
C -3.8675 1.7503 2.9033
C -0.7792 -1.4021 6.3172
C -4.1286 -2.5385 3.0206
Cl -2.0306 -0.2329 1.8938